First-principles (GGA-PBE) data for crystalline KNi3Se5 at its relaxed geometry, as listed in OQMD.

Cell lengths 5.7700, 5.7700, 6.9033 Å; angles 90.00, 90.00, 120.00 degrees
Space group P6/mmm (No. 191)
Inequivalent atoms, fractional coordinates:
K 0.0000 0.0000 0.0000
Ni 0.0000 0.5000 0.5000
Se 0.0000 0.0000 0.5000
Se 0.3333 0.6667 0.2615

Output
Total energy in eV per cell: -38.49



First-principles (GGA-PBE) data for crystalline RbSnHgTe3 at its relaxed geometry, as listed in OQMD.

Cell lengths 4.5233, 15.9431, 11.9519 Å; angles 90.00, 90.00, 90.00 degrees
Space group Cmcm (No. 63)
Inequivalent atoms, fractional coordinates:
Rb 0.0000 0.2474 0.2500
Sn 0.0000 0.5000 0.0000
Hg 0.0000 0.0566 0.7500
Te 0.0000 0.1327 0.5363
Te 0.0000 0.4413 0.7500

Output
Total energy in eV per cell: -68.52



First-principles (GGA-PBE) data for crystalline Ta2NiGe2 at its relaxed geometry, as listed in OQMD.

Cell lengths 3.5997, 3.5997, 12.8024 Å; angles 90.00, 90.00, 90.00 degrees
Space group I4/mmm (No. 139)
Inequivalent atoms, fractional coordinates:
Ta 0.0000 0.0000 0.0974
Ni 0.0000 0.0000 0.5000
Ge 0.0000 0.5000 0.2500

Output
Polymorph energy (0 for the lowest one) in eV/atom: 0.000
Total energy in eV per cell: -73.56



First-principles (GGA-PBE) data for crystalline DyHoIr at its relaxed geometry, as listed in OQMD.

Cell lengths 7.1905, 4.6031, 8.7128 Å; angles 90.00, 90.00, 90.00 degrees
Space group Pnma (No. 62)
Inequivalent atoms, fractional coordinates:
Dy 0.0098 0.2500 0.1629
Ho 0.1415 0.2500 0.5804
Ir 0.2435 0.2500 0.9066

Output
Polymorph energy (0 for the lowest one) in eV/atom: 0.000
Total energy in eV per cell: -81.05
Energy of formation in eV/atom: -0.74



First-principles (GGA-PBE) data for crystalline NaZrCuSe2S at its relaxed geometry, as listed in OQMD.

Cell lengths 3.7737, 13.5685, 9.8531 Å; angles 90.00, 90.00, 90.00 degrees
Space group Cmcm (No. 63)
Inequivalent atoms, fractional coordinates:
Na 0.0000 0.2424 0.2500
Zr 0.0000 0.5000 0.0000
Cu 0.0000 0.0305 0.7500
Se 0.0000 0.1383 0.5545
S 0.0000 0.4301 0.7500

Output
Total energy in eV per cell: -125.09



First-principles (GGA-PBE) data for crystalline Al17Co12 at its relaxed geometry, as listed in OQMD.

Cell lengths 9.0776, 9.0776, 9.0776 Å; angles 90.00, 90.00, 90.00 degrees
Space group I-43m (No. 217)
Inequivalent atoms, fractional coordinates:
Al 0.0000 0.0000 0.0000
Al 0.0985 0.0985 0.6896
Al 0.1836 0.1836 0.1836
Co 0.0571 0.3571 0.6429

Output
Polymorph energy (0 for the lowest one) in eV/atom: 0.070
Total energy in eV per cell: -311.50



First-principles (GGA-PBE) data for crystalline KCu4P3 at its relaxed geometry, as listed in OQMD.

Cell lengths 3.8738, 3.8738, 32.7846 Å; angles 90.00, 90.00, 120.00 degrees
Space group R-3m (No. 166, hexagonal axes)
Inequivalent atoms, fractional coordinates:
K 0.0000 0.0000 0.0000
Cu 0.0000 0.0000 0.1914
Cu 0.0000 0.0000 0.4242
P 0.0000 0.0000 0.2604
P 0.0000 0.0000 0.5000

Output
Total energy in eV per cell: -99.34



First-principles (GGA-PBE) data for crystalline CdPdW2 at its relaxed geometry, as listed in OQMD.

Cell lengths 6.4523, 6.4523, 6.4523 Å; angles 90.00, 90.00, 90.00 degrees
Space group F-43m (No. 216)
Inequivalent atoms, fractional coordinates:
Cd 0.0000 0.0000 0.0000
Pd 0.2500 0.2500 0.7500
W 0.0000 0.0000 0.5000
W 0.2500 0.2500 0.2500

Output
Total energy in eV per cell: -120.11
Energy of formation in eV/atom: 0.49



First-principles (GGA-PBE) data for crystalline DyTlCo at its relaxed geometry, as listed in OQMD.

Cell lengths 6.4504, 6.4504, 6.4504 Å; angles 90.00, 90.00, 90.00 degrees
Space group F-43m (No. 216)
Inequivalent atoms, fractional coordinates:
Dy 0.0000 0.0000 0.0000
Tl 0.0000 0.0000 0.5000
Co 0.2500 0.2500 0.2500

Output
Total energy in eV per cell: -56.28



First-principles (GGA-PBE) data for crystalline FeReSnOs at its relaxed geometry, as listed in OQMD.

Cell lengths 6.2464, 6.2464, 6.2464 Å; angles 90.00, 90.00, 90.00 degrees
Space group F-43m (No. 216)
Inequivalent atoms, fractional coordinates:
Fe 0.0000 0.0000 0.0000
Re 0.2500 0.2500 0.2500
Sn 0.2500 0.2500 0.7500
Os 0.0000 0.0000 0.5000

Output
Polymorph energy (0 for the lowest one) in eV/atom: 0.000
Total energy in eV per cell: -136.80



First-principles (GGA-PBE) data for crystalline LaGdCu2Bi4 at its relaxed geometry, as listed in OQMD.

Cell lengths 4.5638, 4.5638, 9.9366 Å; angles 90.00, 90.00, 90.00 degrees
Space group P4mm (No. 99)
Inequivalent atoms, fractional coordinates:
La 0.0000 0.0000 0.0000
Gd 0.5000 0.5000 0.5278
Cu 0.0000 0.5000 0.7563
Bi 0.0000 0.0000 0.5977
Bi 0.0000 0.5000 0.2694
Bi 0.5000 0.5000 0.9167

Output
Total energy in eV per cell: -37.19



First-principles (GGA-PBE) data for crystalline TaCo2Hg at its relaxed geometry, as listed in OQMD.

Cell lengths 6.2205, 6.2205, 6.2205 Å; angles 90.00, 90.00, 90.00 degrees
Space group F-43m (No. 216)
Inequivalent atoms, fractional coordinates:
Ta 0.0000 0.0000 0.0000
Co 0.0000 0.0000 0.5000
Co 0.2500 0.2500 0.7500
Hg 0.2500 0.2500 0.2500

Output
Total energy in eV per cell: -97.74
Energy of formation in eV/atom: 0.48



First-principles (GGA-PBE) data for crystalline ThScHg at its relaxed geometry, as listed in OQMD.

Cell lengths 7.1365, 7.1365, 7.1365 Å; angles 90.00, 90.00, 90.00 degrees
Space group F-43m (No. 216)
Inequivalent atoms, fractional coordinates:
Th 0.0000 0.0000 0.0000
Sc 0.0000 0.0000 0.5000
Hg 0.2500 0.2500 0.7500

Output
Polymorph energy (0 for the lowest one) in eV/atom: 0.000
Total energy in eV per cell: -54.68
Energy of formation in eV/atom: 0.12



First-principles (GGA-PBE) data for crystalline ErTmAlCo2 at its relaxed geometry, as listed in OQMD.

Cell lengths 4.0193, 5.4073, 8.1460 Å; angles 90.00, 90.00, 90.00 degrees
Space group Imm2 (No. 44)
Inequivalent atoms, fractional coordinates:
Er 0.0000 0.0000 0.0000
Tm 0.0000 0.0000 0.4095
Al 0.0000 0.5000 0.2047
Co 0.0000 0.2758 0.7049

Output
Polymorph energy (0 for the lowest one) in eV/atom: 0.000
Total energy in eV per cell: -58.31



First-principles (GGA-PBE) data for crystalline Bi2PdO4 at its relaxed geometry, as listed in OQMD.

Cell lengths 8.9069, 8.9069, 5.5585 Å; angles 90.00, 90.00, 90.00 degrees
Space group I4cm (No. 108)
Inequivalent atoms, fractional coordinates:
Bi 0.1688 0.3312 0.0000
Pd 0.0000 0.0000 0.3156
O 0.1029 0.2013 0.3293

Output
Polymorph energy (0 for the lowest one) in eV/atom: 0.091
Total energy in eV per cell: -157.69



First-principles (GGA-PBE) data for crystalline Li2Be2Hg3 at its relaxed geometry, as listed in OQMD.

Cell lengths 4.3636, 4.3636, 21.4596 Å; angles 90.00, 90.00, 120.00 degrees
Space group R3m (No. 160, hexagonal axes)
Inequivalent atoms, fractional coordinates:
Li 0.0000 0.0000 0.0000
Li 0.0000 0.0000 0.4891
Be 0.0000 0.0000 0.2484
Be 0.0000 0.0000 0.7415
Hg 0.0000 0.0000 0.3729
Hg 0.0000 0.0000 0.6150
Hg 0.0000 0.0000 0.8584

Output
Total energy in eV per cell: -34.23



First-principles (GGA-PBE) data for crystalline TcBiOs at its relaxed geometry, as listed in OQMD.

Cell lengths 6.2438, 6.2438, 6.2438 Å; angles 90.00, 90.00, 90.00 degrees
Space group F-43m (No. 216)
Inequivalent atoms, fractional coordinates:
Tc 0.0000 0.0000 0.0000
Bi 0.0000 0.0000 0.5000
Os 0.2500 0.2500 0.7500

Output
Polymorph energy (0 for the lowest one) in eV/atom: 0.000
Total energy in eV per cell: -94.11



First-principles (GGA-PBE) data for crystalline Pr2GdN3 at its relaxed geometry, as listed in OQMD.

Cell lengths 3.6166, 3.6166, 8.8679 Å; angles 90.00, 90.00, 120.00 degrees
Space group P-3m1 (No. 164)
Inequivalent atoms, fractional coordinates:
Pr 0.3333 0.6667 0.3292
Gd 0.0000 0.0000 0.0000
N 0.0000 0.0000 0.5000
N 0.3333 0.6667 0.8423

Output
Total energy in eV per cell: -47.48



First-principles (GGA-PBE) data for crystalline Al8W5 at its relaxed geometry, as listed in OQMD.

Cell lengths 4.9875, 4.9875, 28.0696 Å; angles 90.00, 90.00, 120.00 degrees
Space group R-3m (No. 166, hexagonal axes)
Inequivalent atoms, fractional coordinates:
Al 0.0000 0.0000 0.1657
Al 0.0026 0.5013 0.4097
W 0.0000 0.0000 0.0000
W 0.0000 0.0000 0.3555
W 0.0000 0.0000 0.4538

Output
Polymorph energy (0 for the lowest one) in eV/atom: 0.032
Total energy in eV per cell: -280.24



First-principles (GGA-PBE) data for crystalline Hf2Ga3W4C3 at its relaxed geometry, as listed in OQMD.

Cell lengths 9.4261, 5.4599, 13.6462 Å; angles 90.00, 103.57, 90.00 degrees
Space group C2/c (No. 15)
Inequivalent atoms, fractional coordinates:
Hf 0.0483 0.0827 0.3961
Ga 0.0000 0.4849 0.2500
Ga 0.1977 0.1120 0.7497
W 0.1113 0.4159 0.5816
W 0.2226 0.4173 0.9181
C 0.0813 0.2442 0.0000
C 0.2500 0.2500 0.5000

Output
Total energy in eV per cell: -448.12